Cu3MoF (meta-GGA SCAN, PBEsol geometry); formation energy without anion corrections = 1538 meV/atom; space-group type = Pm-3m, No. 221; calculated total energy = -15.2665 eV per atom; density of states at the Fermi level = 1.91 states/eV/f.u.
1.0
4.6131 0.0000 0.0000
0.0000 4.6131 0.0000
0.0000 0.0000 4.6131
Mo Cu F
1 3 1
direct
0.0000 0.0000 0.0000 Mo
0.0000 0.5000 0.0000 Cu
0.0000 0.0000 0.5000 Cu
0.5000 0.0000 0.0000 Cu
0.5000 0.5000 0.5000 F

***

CuMoF6 (meta-GGA SCAN, PBEsol geometry); formation energy without anion corrections = -2285 meV/atom; space-group type = R-3, No. 148; calculated total energy = -11.2006 eV per atom; density of states at the Fermi level = 3.74 states/eV/f.u.
1.0
-4.0387 1.3677 -2.6448
-4.5824 -1.3274 1.5497
-3.1727 3.9503 2.1248
Mo Cu F
1 1 6
direct
0.5000 0.5000 0.5000 Mo
0.0000 0.0000 0.0000 Cu
0.2610 0.8817 0.2607 F
0.7390 0.1183 0.7393 F
0.4033 0.7387 0.7396 F
0.5967 0.2613 0.2604 F
0.8815 0.5969 0.2608 F
0.1185 0.4031 0.7393 F

***

CuNF2 (meta-GGA SCAN, PBEsol geometry); formation energy without anion corrections = 494 meV/atom; space-group type = R-3m, No. 166; calculated total energy = -7.3986 eV per atom; offset from the most stable computed form = 0.030 eV per atom; density of states at the Fermi level = 2.24 states/eV/f.u.
1.0
2.6564 0.0000 0.0000
1.3282 2.3005 0.0000
1.3282 0.7668 6.4842
N Cu F
1 1 2
direct
0.0000 0.0000 0.0000 N
0.5000 0.5000 0.5000 Cu
0.9087 0.9087 0.2739 F
0.0913 0.0913 0.7261 F